# 1
Here is crystalline SmDyPdAu at its relaxed geometry from Alexandria via LeMat-Bulk. Energies are from GGA-PBE.

```
SmDyPdAu
1.0
0.000 3.594 3.594
3.594 0.000 3.594
3.594 3.594 0.000
Sm Dy Pd Au
1 1 1 1
direct
0.000 0.000 0.000
0.500 0.500 0.500
0.750 0.750 0.750
0.250 0.250 0.250
```

Results
ΔH_f (0 K): -822 meV/atom

# 2
Here is crystalline YInAu6 at its relaxed geometry from Alexandria via LeMat-Bulk. Energies are from GGA-PBE.

```
YInAu6
1.0
4.734 -2.209 0.000
4.734 2.209 0.000
-3.703 0.000 7.512
Y In Au
1 1 6
direct
0.000 0.000 0.000
0.000 0.000 0.500
0.245 0.245 0.380
0.255 0.255 0.869
0.489 0.489 0.249
0.511 0.511 0.751
0.745 0.745 0.131
0.755 0.755 0.620
```

Results
ΔH_f (0 K): -403 meV/atom

| no. | volume (Å³/cell) |
| --- | --- |
| 1 | 93 |
| 2 | 157 |